No. 1
Density functional theory data (GGA-PBE) for a relaxed CePm12Co6 crystal.

Computed properties:
energy relative to the elements = -41.6 meV/atom
density of states at the Fermi level = 1.245 states/eV per atom

Cell lengths 8.674, 8.674, 8.674 Å; angles 109.47, 109.47, 109.47 degrees
Fractional coordinates of all 19 atoms:
Ce  0.000  0.000  0.000
Pm  0.310  0.115  0.806
Pm  0.310  0.504  0.194
Pm  0.690  0.496  0.806
Pm  0.690  0.885  0.194
Pm  0.115  0.806  0.310
Pm  0.504  0.194  0.310
Pm  0.496  0.806  0.690
Pm  0.885  0.194  0.690
Pm  0.806  0.310  0.115
Pm  0.194  0.310  0.504
Pm  0.806  0.690  0.496
Pm  0.194  0.690  0.885
Co  0.388  0.500  0.888
Co  0.612  0.500  0.112
Co  0.500  0.888  0.388
Co  0.500  0.112  0.612
Co  0.888  0.388  0.500
Co  0.112  0.612  0.500


No. 2
Density functional theory data (GGA-PBE) for a relaxed Ce2PmCo crystal.

Computed properties:
energy relative to the elements = -113.8 meV/atom
density of states at the Fermi level = 1.984 states/eV per atom

Cell lengths 6.094, 9.591, 13.696 Å; angles 90.00, 90.00, 90.00 degrees
Fractional coordinates of all 32 atoms:
Ce  0.075  0.068  0.212
Ce  0.575  0.932  0.288
Ce  0.925  0.568  0.788
Ce  0.425  0.432  0.712
Ce  0.925  0.932  0.788
Ce  0.425  0.068  0.712
Ce  0.075  0.432  0.212
Ce  0.575  0.568  0.288
Ce  0.758  0.563  0.038
Ce  0.258  0.437  0.462
Ce  0.242  0.063  0.962
Ce  0.742  0.937  0.538
Ce  0.242  0.437  0.962
Ce  0.742  0.563  0.538
Ce  0.758  0.937  0.038
Ce  0.258  0.063  0.462
Pm  0.559  0.250  0.145
Pm  0.059  0.750  0.355
Pm  0.441  0.750  0.855
Pm  0.941  0.250  0.645
Pm  0.760  0.250  0.398
Pm  0.260  0.750  0.102
Pm  0.240  0.750  0.602
Pm  0.740  0.250  0.898
Co  0.264  0.250  0.329
Co  0.764  0.750  0.171
Co  0.736  0.750  0.671
Co  0.236  0.250  0.829
Co  0.048  0.250  0.077
Co  0.548  0.750  0.423
Co  0.952  0.750  0.923
Co  0.452  0.250  0.577


No. 3
Density functional theory data (GGA-PBE) for a relaxed CePmCo crystal.

Computed properties:
energy relative to the elements = 4.4 meV/atom
density of states at the Fermi level = 1.743 states/eV per atom

Cell lengths 4.821, 4.185, 4.185 Å; angles 120.00, 90.00, 90.00 degrees
Fractional coordinates of all 3 atoms:
Co  0.166  0.000  0.000
Ce  0.167  0.333  0.667
Pm  0.667  0.667  0.333


No. 4
Density functional theory data (GGA-PBE) for a relaxed CePmCo crystal.

Computed properties:
energy relative to the elements = -14.8 meV/atom
density of states at the Fermi level = 1.581 states/eV per atom

Cell lengths 3.472, 3.472, 6.157 Å; angles 106.38, 106.38, 90.00 degrees
Fractional coordinates of all 3 atoms:
Co  0.642  0.642  0.284
Ce  0.037  0.037  0.074
Pm  0.321  0.321  0.641


- What is the energy relative to the elements in the second record?
  -113.8 meV/atom


- What is the energy relative to the elements in the fourth record?
  -14.8 meV/atom


- What is the formula in the first record?
  CePm12Co6